Computed, not measured: crystalline Li2V3CrO8 at its relaxed geometry at the PBE+U level of DFT.

## Properties
Energy = -7.2353 eV/atom
Excess energy over the best structure of this formula in the dataset = 76 meV/atom

Cell lengths 5.892, 5.961, 6.003 Å; angles 60.63, 61.33, 60.40 degrees
Sites, in units of the cell vectors:
Li 0.000 0.000 0.000
Li 0.500 0.500 0.000
V 0.000 0.000 0.500
V 0.000 0.500 0.500
V 0.500 0.500 0.500
Cr 0.500 0.000 0.500
O 0.223 0.233 0.296
O 0.230 0.742 0.282
O 0.248 0.268 0.702
O 0.264 0.764 0.715
O 0.736 0.236 0.285
O 0.752 0.732 0.298
O 0.770 0.258 0.718
O 0.777 0.767 0.704